No. 1
{"formula": "AcSmTlAu", "functional": "PBE", "state": "relaxed", "lattice": [[5.5317, 0.0000, 0.0000], [2.7659, 4.7906, 0.0000], [2.7659, 1.5969, 4.5166]], "species": ["Sm", "Au", "Ac", "Tl"], "frac_coords": [[0.2500, 0.2500, 0.2500], [0.0000, 0.0000, 0.0000], [0.7500, 0.7500, 0.7500], [0.5000, 0.5000, 0.5000]], "sg": "No. 216", "rho_g_cm3": 10.80}

=====

No. 2
{"formula": "AcSmZnAu", "functional": "PBE", "state": "relaxed", "lattice": [[5.3716, 0.0000, 0.0000], [2.6858, 4.6519, 0.0000], [2.6858, 1.5506, 4.3859]], "species": ["Sm", "Au", "Ac", "Zn"], "frac_coords": [[0.2500, 0.2500, 0.2500], [0.5000, 0.5000, 0.5000], [0.7500, 0.7500, 0.7500], [0.0000, 0.0000, 0.0000]], "sg": "No. 216", "rho_g_cm3": 9.69}

=====

No. 3
{"formula": "AcSmZn2Au5", "functional": "PBE", "state": "relaxed", "lattice": [[4.6456, 0.0000, 0.0000], [0.0000, 4.6456, 0.0000], [0.0000, 0.0000, 9.2410]], "species": ["Au", "Zn", "Zn", "Ac", "Au", "Au", "Sm", "Au", "Au"], "frac_coords": [[0.0000, 0.5000, 0.7474], [0.5000, 0.5000, 0.1307], [0.5000, 0.5000, 0.8693], [0.0000, 0.0000, 0.5000], [0.5000, 0.5000, 0.5000], [0.5000, 0.0000, 0.2526], [0.0000, 0.0000, 0.0000], [0.5000, 0.0000, 0.7474], [0.0000, 0.5000, 0.2526]], "sg": "No. 123", "rho_g_cm3": 12.43}

=====

No. 4
{"formula": "AcSmZnAu", "functional": "PBE", "state": "relaxed", "lattice": [[-0.2053, -0.6195, 3.7382], [-0.8749, -3.6347, -0.6504], [7.3114, -1.7790, 0.1068]], "species": ["Au", "Sm", "Ac", "Zn"], "frac_coords": [[0.0000, 0.0000, 0.8266], [0.5000, 0.5000, 0.6084], [0.5000, 0.5000, 0.1082], [0.0000, 0.0000, 0.3847]], "sg": "No. 99", "rho_g_cm3": 9.80}

=====

No. 5
{"formula": "AcSn2Au", "functional": "PBE", "state": "relaxed", "lattice": [[-3.8259, -2.6868, -0.9960], [2.6020, -2.8223, 9.0885], [-5.8494, 6.9126, 3.8213]], "species": ["Au", "Sn", "Ac", "Au", "Ac", "Sn", "Ac", "Au", "Sn", "Au", "Sn", "Sn", "Sn", "Ac", "Sn", "Sn"], "frac_coords": [[0.8547, 0.7094, 0.5110], [0.9317, 0.8634, 0.7500], [0.3020, 0.6040, 0.7500], [0.1453, 0.2906, 0.4890], [0.5000, 0.0000, 0.5000], [0.3044, 0.6088, 0.0971], [0.5000, 0.0000, 0.0000], [0.1453, 0.2906, 0.0110], [0.6956, 0.3912, 0.5971], [0.8547, 0.7094, 0.9890], [0.3044, 0.6088, 0.4029], [0.0819, 0.1639, 0.7500], [0.0683, 0.1366, 0.2500], [0.6980, 0.3960, 0.2500], [0.9181, 0.8361, 0.2500], [0.6956, 0.3912, 0.9029]], "sg": "No. 63", "rho_g_cm3": 9.77}

=====

No. 6
{"formula": "Ac4Sn2Au", "functional": "PBE", "state": "relaxed", "lattice": [[-0.8034, -3.7013, 4.2675], [5.2266, 1.1485, 1.9800], [-5.5728, 7.8437, 1.9393]], "species": ["Ac", "Sn", "Ac", "Ac", "Ac", "Au", "Sn"], "frac_coords": [[0.8165, 0.8165, 0.6331], [0.3697, 0.3697, 0.7394], [0.1835, 0.1835, 0.3669], [0.5000, 0.0000, 0.0000], [0.0000, 0.5000, 0.0000], [0.0000, 0.0000, 0.0000], [0.6303, 0.6303, 0.2606]], "sg": "No. 139", "rho_g_cm3": 7.65}

=====

| no. | electronic total energy (eV/atom) |
| --- | --- |
| 1 | -4.119 |
| 2 | -3.831 |
| 3 | -3.601 |
| 4 | -3.868 |
| 5 | -4.450 |
| 6 | -4.344 |